BaCuAg2Sb | PBE | optimized geometry

Unit cell a=5.5264 b=4.8622 c=5.5264 alpha=90.00 beta=90.00 gamma=90.00
With the nearest neighbours (Å) after each atom.
Positions (direct):
Sb  0.0000  0.0000  0.0000  2 Cu 2.43
Cu  0.0000  0.5000  0.0000  2 Sb 2.43
Ba  0.5000  0.5000  0.5000  8 Ag 3.68, 4 Cu 3.91
Ag  0.5000  0.0000  0.0000  2 Sb 2.76
Ag  0.0000  0.0000  0.5000  2 Sb 2.76

Values from the calculation:
**ΔE_f (raw)**: 0.24 eV per formula unit
**Calculated density**: 6.02 g/cm³


BaCuAgSe2 | PBE | optimized geometry

Unit cell a=5.8070 b=6.0844 c=7.7289 alpha=113.18 beta=90.00 gamma=90.00
With the nearest neighbours (Å) after each atom.
Positions (direct):
Se  0.7560  0.6278  0.2556  1 Cu 2.30
Se  0.2440  0.3722  0.7444  1 Cu 2.30
Se  0.2440  0.1278  0.2556  1 Cu 2.30
Se  0.7560  0.8722  0.7444  1 Cu 2.30
Ag  0.5000  0.2500  0.0000  4 Se 2.80, 2 Ag 3.04
Ag  0.5000  0.7500  0.0000  4 Se 2.80, 2 Ag 3.04
Cu  0.0000  0.5000  0.0000  2 Se 2.30
Cu  0.0000  0.0000  0.0000  2 Se 2.30
Ba  0.2539  0.7500  0.5000  8 Se 3.37-3.50
Ba  0.7461  0.2500  0.5000  8 Se 3.37-3.50

Values from the calculation:
**ΔE_f (raw)**: -4.17 eV per formula unit
**Calculated density**: 6.17 g/cm³


Which M_tot belongs to each record? In order, 0.00, 0.00 μB/cell.
Which final energy belongs to each record? In order, -3.12, -4.00 eV/atom.